# 1
Computed, not measured: crystalline In5Se6 at its relaxed geometry at the PBE level of DFT.

extended XYZ file:
```
11
Lattice="3.529 -6.097 0.000 3.529 6.097 0.000 -2.403 0.000 6.791" Properties=species:S:1:pos:R:3 pbc="T T T"
In 0.000 0.000 0.000
In 2.328 4.085 3.396
In 3.529 2.101 0.000
In 3.529 -2.101 0.000
In 2.328 -4.085 3.396
Se 1.167 2.035 1.612
Se -0.064 0.000 5.231
Se 1.167 -2.035 1.612
Se 3.488 2.035 5.179
Se 4.719 0.000 1.561
Se 3.488 -2.035 5.179
```

Summary:
**Magnetic moment**: 0.0 μB/f.u.
**Volume**: 26.6 A^3/atom
**Uncorrected energy**: -3.624 eV/atom
**Formation energy (no corrections)**: -5.26 eV/f.u.


# 2
Computed, not measured: crystalline Ag3Rh at its relaxed geometry at the PBE level of DFT.

extended XYZ file:
```
4
Lattice="4.072 0.000 0.000 0.000 4.072 0.000 0.000 0.000 4.072" Properties=species:S:1:pos:R:3 pbc="T T T"
Ag 0.000 0.000 2.036
Ag 0.000 2.036 0.000
Ag 2.036 0.000 0.000
Rh 2.036 2.036 2.036
```

Summary:
**Magnetic moment**: 0.0 μB/f.u.
**Volume**: 16.9 A^3/atom
**Uncorrected energy**: -3.733 eV/atom
**Formation energy from the elements**: 0.243 eV per atom


# 3
Computed, not measured: crystalline SnMoWC2 at its relaxed geometry at the PBE level of DFT.

extended XYZ file:
```
5
Lattice="4.074 0.000 0.000 0.000 4.074 0.000 0.000 0.000 5.190" Properties=species:S:1:pos:R:3 pbc="T T T"
Sn 0.000 0.000 0.000
Mo 2.037 2.037 0.000
W 2.037 2.037 2.595
C 0.000 2.037 2.595
C 2.037 0.000 2.595
```

Summary:
**Magnetic moment**: 0.0 μB/f.u.
**Volume**: 17.2 A^3/atom
**Uncorrected energy**: -7.611 eV/atom
**Formation energy from the elements**: 1.636 eV per atom


# 4
Computed, not measured: crystalline In3Pd13 at its relaxed geometry at the PBE level of DFT.

extended XYZ file:
```
16
Lattice="8.184 0.000 0.000 0.000 3.851 4.119 0.000 -3.851 4.119" Properties=species:S:1:pos:R:3 pbc="T T T"
In 0.000 0.000 0.000
In 2.146 0.000 2.441
In 6.039 0.000 2.441
Pd 0.000 -1.776 2.251
Pd 0.000 1.776 2.251
Pd 0.000 0.000 4.454
Pd 2.043 -1.981 4.408
Pd 2.043 0.000 6.394
Pd 2.043 1.981 4.408
Pd 4.092 0.000 0.257
Pd 4.092 -1.955 2.344
Pd 4.092 1.955 2.344
Pd 4.092 0.000 4.446
Pd 6.142 -1.981 4.408
Pd 6.141 0.000 6.394
Pd 6.142 1.981 4.408
```

Summary:
**Magnetic moment**: 0.0 μB/f.u.
**Volume**: 16.2 A^3/atom
**Uncorrected energy**: -5.042 eV/atom
**Formation energy from the elements**: -0.309 eV per atom


# 5
Computed, not measured: crystalline NdYAu at its relaxed geometry at the PBE level of DFT.

extended XYZ file:
```
3
Lattice="4.951 0.000 0.000 -2.475 4.287 0.000 0.000 0.000 3.973" Properties=species:S:1:pos:R:3 pbc="T T T"
Nd 0.000 0.000 0.000
Y 0.000 2.858 1.863
Au 2.475 1.429 2.680
```

Summary:
**Magnetic moment**: 0.0 μB/f.u.
**Volume**: 28.1 A^3/atom
**Relative energy among the computed polymorphs**: 188 meV/atom
**Uncorrected energy**: -5.226 eV/atom
**Formation energy from the elements**: -0.390 eV per atom


# 6
Computed, not measured: crystalline CuAs2P at its relaxed geometry at the PBE level of DFT.

extended XYZ file:
```
4
Lattice="3.463 0.000 0.000 0.000 3.787 0.000 0.000 0.000 5.249" Properties=species:S:1:pos:R:3 pbc="T T T"
Cu 0.000 0.000 0.000
As 0.000 0.000 2.680
As 1.732 1.893 0.102
P 1.732 1.893 2.448
```

Summary:
**Magnetic moment**: 0.0 μB/f.u.
**Volume**: 17.2 A^3/atom
**Uncorrected energy**: -4.543 eV/atom
**Formation energy from the elements**: 0.158 eV per atom


# 7
Computed, not measured: crystalline EuVGe2 at its relaxed geometry at the PBE level of DFT.

extended XYZ file:
```
12
Lattice="3.060 0.000 0.000 -1.530 2.650 0.000 0.000 0.000 30.410" Properties=species:S:1:pos:R:3 pbc="T T T"
Eu 0.000 0.000 0.000
Eu 0.000 1.767 20.273
Eu 1.530 0.883 10.137
V 0.000 0.000 15.205
V 0.000 1.767 5.068
V 1.530 0.883 25.341
Ge 0.000 0.000 3.056
Ge 0.000 0.000 27.353
Ge 0.000 1.767 17.217
Ge 0.000 1.767 23.329
Ge 1.530 0.883 7.080
Ge 1.530 0.883 13.193
```

Summary:
**Magnetic moment**: 7.8 μB/f.u.
**Volume**: 20.6 A^3/atom
**Relative energy among the computed polymorphs**: 524 meV/atom
**Uncorrected energy**: -6.901 eV/atom
**Formation energy from the elements**: 0.256 eV per atom


# 8
Computed, not measured: crystalline Cs2TbYS4 at its relaxed geometry at the PBE level of DFT.

extended XYZ file:
```
8
Lattice="7.133 0.000 0.000 0.000 4.119 0.000 -2.374 0.000 8.069" Properties=species:S:1:pos:R:3 pbc="T T T"
Cs 0.000 0.000 0.000
Cs 3.567 2.059 0.000
Tb -1.187 2.059 4.035
Y 2.380 0.000 4.035
S 0.006 0.000 5.505
S 1.195 2.059 2.567
S 3.564 2.059 5.503
S 4.753 0.000 2.564
```

Summary:
**Magnetic moment**: 0.0 μB/f.u.
**Volume**: 29.6 A^3/atom
**Uncorrected energy**: -5.500 eV/atom
**Formation energy (no corrections)**: -14.69 eV/f.u.


Question: Which of these has the highest volume?
Answer: Cs2TbYS4


Question: Which formula does entry 8 have?
Answer: Cs2TbYS4


Question: Among the records above, which one has the highest magnetic moment?
Answer: EuVGe2


Question: The lowest uncorrected energy belongs to which entry?
Answer: SnMoWC2